Computed, not measured: a geometry-optimized AlAg7 structure at the PBE-GGA level of DFT.

Cell and atoms, written as CIF:
```
data_AlAg7
_cell_length_a 4.126
_cell_length_b 4.126
_cell_length_c 16.517
_cell_angle_alpha 90.00
_cell_angle_beta 90.00
_cell_angle_gamma 90.00
_symmetry_space_group_name_H-M 'P 1'
_symmetry_Int_Tables_number 1
_symmetry_space_group_name_Hall 'P 1'
loop_
_atom_site_label
_atom_site_fract_x
_atom_site_fract_y
_atom_site_fract_z
Al1 0.000 0.000 0.000
Al2 0.500 0.500 0.500
Ag1 0.000 0.000 0.251
Ag2 0.000 0.000 0.500
Ag3 0.000 0.000 0.749
Ag4 0.000 0.500 0.122
Ag5 0.000 0.500 0.378
Ag6 0.000 0.500 0.622
Ag7 0.000 0.500 0.878
Ag8 0.500 0.000 0.122
Ag9 0.500 0.000 0.378
Ag10 0.500 0.000 0.622
Ag11 0.500 0.000 0.878
Ag12 0.500 0.500 0.000
Ag13 0.500 0.500 0.249
Ag14 0.500 0.500 0.751
```

Total magnetic moment: 0.00 μB/f.u.
Offset from the most stable computed form: 20 meV per atom
Fermi-level density of states: 1.56 states/eV/f.u.
Energy of formation from the pure elements: -0.03 eV/f.u.
Calculated volume: 281.11 Å³/cell
SG: I4/mmm, No. 139



Computed, not measured: a geometry-optimized TcNi2Sn structure at the PBE-GGA level of DFT.

Cell and atoms, written as CIF:
```
data_TcNi2Sn
_cell_length_a 3.829
_cell_length_b 3.829
_cell_length_c 17.452
_cell_angle_alpha 90.00
_cell_angle_beta 90.00
_cell_angle_gamma 90.00
_symmetry_space_group_name_H-M 'P 1'
_symmetry_Int_Tables_number 1
_symmetry_space_group_name_Hall 'P 1'
loop_
_atom_site_label
_atom_site_fract_x
_atom_site_fract_y
_atom_site_fract_z
Tc1 0.000 0.000 0.000
Tc2 0.000 0.500 0.250
Tc3 0.500 0.000 0.750
Tc4 0.500 0.500 0.500
Ni1 0.228 0.250 0.125
Ni2 0.250 0.728 0.375
Ni3 0.250 0.772 0.875
Ni4 0.272 0.250 0.625
Ni5 0.728 0.750 0.625
Ni6 0.750 0.228 0.875
Ni7 0.750 0.272 0.375
Ni8 0.772 0.750 0.125
Sn1 0.000 0.000 0.500
Sn2 0.000 0.500 0.750
Sn3 0.500 0.000 0.250
Sn4 0.500 0.500 0.000
```

Total magnetic moment: 1.91 μB/f.u.
Fermi-level density of states: 4.08 states/eV/f.u.
Energy of formation from the pure elements: 1.98 eV/f.u.
Calculated volume: 255.81 Å³/cell
SG: I-42d, No. 122



Computed, not measured: a geometry-optimized Y5Tl4Ru structure at the PBE-GGA level of DFT.

Cell and atoms, written as CIF:
```
data_Y5Tl4Ru
_cell_length_a 3.524
_cell_length_b 3.524
_cell_length_c 20.839
_cell_angle_alpha 90.00
_cell_angle_beta 90.00
_cell_angle_gamma 90.00
_symmetry_space_group_name_H-M 'P 1'
_symmetry_Int_Tables_number 1
_symmetry_space_group_name_Hall 'P 1'
loop_
_atom_site_label
_atom_site_fract_x
_atom_site_fract_y
_atom_site_fract_z
Y1 0.000 0.000 0.000
Y2 0.000 0.000 0.209
Y3 0.000 0.000 0.421
Y4 0.000 0.000 0.579
Y5 0.000 0.000 0.791
Tl1 0.500 0.500 0.105
Tl2 0.500 0.500 0.312
Tl3 0.500 0.500 0.688
Tl4 0.500 0.500 0.895
Ru1 0.500 0.500 0.500
```

Total magnetic moment: 0.65 μB/f.u.
Fermi-level density of states: 9.23 states/eV/f.u.
Energy of formation from the pure elements: -3.77 eV/f.u.
Calculated volume: 258.77 Å³/cell
SG: P4/mmm, No. 123



Computed, not measured: a geometry-optimized Sc2NbMo2 structure at the PBE-GGA level of DFT.

Cell and atoms, written as CIF:
```
data_Sc2NbMo2
_cell_length_a 6.571
_cell_length_b 6.571
_cell_length_c 4.671
_cell_angle_alpha 90.00
_cell_angle_beta 90.00
_cell_angle_gamma 90.00
_symmetry_space_group_name_H-M 'P 1'
_symmetry_Int_Tables_number 1
_symmetry_space_group_name_Hall 'P 1'
loop_
_atom_site_label
_atom_site_fract_x
_atom_site_fract_y
_atom_site_fract_z
Sc1 0.172 0.328 0.000
Sc2 0.328 0.828 0.000
Sc3 0.672 0.172 0.000
Sc4 0.828 0.672 0.000
Nb1 0.000 0.000 0.500
Nb2 0.500 0.500 0.500
Mo1 0.133 0.633 0.500
Mo2 0.367 0.133 0.500
Mo3 0.633 0.867 0.500
Mo4 0.867 0.367 0.500
```

Total magnetic moment: 0.00 μB/f.u.
Offset from the most stable computed form: 0 meV per atom
Fermi-level density of states: 5.74 states/eV/f.u.
Energy of formation from the pure elements: 1.12 eV/f.u.
Calculated volume: 201.67 Å³/cell
SG: P4/mbm, No. 127